# NiTe2I2

NiTe2I2 after structural relaxation (PBE-GGA, the Alexandria database).

Computed properties:
As for the formation energy from raw total energies: -45 meV per atom. The calculation puts the energy at -3.078 eV/atom. The total moment comes out at 0.00 μB per formula unit.

a = 9.0173 Å, b = 7.0896 Å, c = 10.0468 Å
α = 66.61°, β = 51.38°, γ = 50.51°
Fractional coordinates of all 10 atoms:
I  0.1327  0.3761  0.2468
I  0.8673  0.6239  0.7532
I  0.4912  0.3761  0.7532
I  0.5088  0.6239  0.2468
Te  0.7513  0.0000  0.0164
Te  0.2487  0.0000  0.9836
Te  0.1592  0.0000  0.7568
Te  0.8408  0.0000  0.2432
Ni  0.8476  0.3048  0.0000
Ni  0.1524  0.6952  0.0000

# Al8Tl

Al8Tl after structural relaxation (PBE-GGA, the Alexandria database).

Computed properties:
As for the formation energy: 14 kJ/mol of atoms. The calculation puts the energy at -3.447 eV/atom. The total moment comes out at 0.00 μB per formula unit.

a = 6.6539 Å, b = 6.6539 Å, c = 6.6539 Å
α = 95.40°, β = 95.40°, γ = 144.26°
Fractional coordinates of all 9 atoms:
Al  0.3226  0.3226  0.6453
Al  0.0000  0.6582  0.6582
Al  0.3226  0.6774  0.0000
Al  0.6774  0.3226  0.0000
Al  0.3418  0.0000  0.3418
Al  0.0000  0.3418  0.3418
Al  0.6582  0.0000  0.6582
Al  0.6774  0.6774  0.3547
Tl  0.0000  0.0000  0.0000

# MnCd2RhPb

MnCd2RhPb after structural relaxation (PBE-GGA, the Alexandria database).

Computed properties:
As for the formation energy: 59 kJ/mol of atoms. The calculation puts the energy at -3.802 eV/atom. The total moment comes out at 2.36 μB per formula unit.

a = 5.1360 Å, b = 4.4571 Å, c = 5.1360 Å
α = 90.00°, β = 90.00°, γ = 90.00°
Last column: magnetic moment on the atom in μB.
Fractional coordinates of all 5 atoms:
Cd  0.5000  0.0000  0.0000  -0.03
Cd  0.0000  0.0000  0.5000  -0.02
Mn  0.0000  0.0000  0.0000  2.37
Rh  0.0000  0.5000  0.0000  0.07
Pb  0.5000  0.5000  0.5000  -0.03

# FeHgI2Br

FeHgI2Br after structural relaxation (PBE-GGA, the Alexandria database).

Computed properties:
As for the formation energy from raw total energies: 222 meV per atom. The calculation puts the energy at -2.486 eV/atom. The total moment comes out at 0.14 μB per formula unit.

a = 5.4592 Å, b = 4.8139 Å, c = 5.4592 Å
α = 90.00°, β = 90.00°, γ = 90.00°
Last column: magnetic moment on the atom in μB.
Fractional coordinates of all 5 atoms:
Hg  0.5000  0.5000  0.5000  0.01
I  0.5000  0.0000  0.0000  0.03
I  0.0000  0.0000  0.5000  0.02
Fe  0.0000  0.0000  0.0000  0.15
Br  0.0000  0.5000  0.0000  -0.09

# ZrTaCr2

ZrTaCr2 after structural relaxation (PBE-GGA, the Alexandria database).

Computed properties:
The value obtained for the energy above the most stable polymorph in this dataset is 254 meV per atom. As for the formation energy: 38 kJ/mol of atoms. The calculation puts the energy at -9.517 eV/atom. The total moment comes out at 0.00 μB per formula unit.

a = 8.9715 Å, b = 8.9715 Å, c = 8.9715 Å
α = 18.80°, β = 18.80°, γ = 18.80°
Fractional coordinates of all 4 atoms:
Cr  0.9870  0.9870  0.9870
Cr  0.2592  0.2592  0.2592
Zr  0.7433  0.7433  0.7433
Ta  0.5105  0.5105  0.5105

# LaHoSc2

LaHoSc2 after structural relaxation (PBE-GGA, the Alexandria database).

Computed properties:
The value obtained for the energy above the most stable polymorph in this dataset is 16 meV per atom. As for the formation energy: 7 kJ/mol of atoms. The calculation puts the energy at -5.467 eV/atom. The total moment comes out at 0.00 μB per formula unit.

a = 5.4841 Å, b = 5.4841 Å, c = 5.4841 Å
α = 60.00°, β = 60.00°, γ = 60.00°
Fractional coordinates of all 4 atoms:
Sc  0.2500  0.2500  0.2500
Sc  0.7500  0.7500  0.7500
La  0.0000  0.0000  0.0000
Ho  0.5000  0.5000  0.5000

# Pm4TmSc2

Pm4TmSc2 after structural relaxation (PBE-GGA, the Alexandria database).

Computed properties:
The value obtained for the energy above the most stable polymorph in this dataset is 0 meV per atom. As for the formation energy: 7 kJ/mol of atoms. The calculation puts the energy at -5.094 eV/atom. The total moment comes out at 0.00 μB per formula unit.

a = 6.4756 Å, b = 12.7988 Å, c = 12.8023 Å
α = 54.74°, β = 87.68°, γ = 92.30°
Fractional coordinates of all 28 atoms:
Pm  0.1221  0.2946  0.5483
Pm  0.1313  0.7378  0.9792
Pm  0.3779  0.2054  0.9517
Pm  0.8682  0.9799  0.7373
Pm  0.6318  0.5201  0.7627
Pm  0.6221  0.7946  0.0483
Pm  0.1227  0.4510  0.7057
Pm  0.3682  0.4799  0.2373
Pm  0.1318  0.0201  0.2627
Pm  0.8773  0.5490  0.2943
Pm  0.8687  0.2622  0.0208
Pm  0.3773  0.0490  0.7943
Pm  0.6227  0.9510  0.2057
Pm  0.6313  0.2378  0.4792
Pm  0.8779  0.7054  0.4517
Pm  0.3687  0.7622  0.5208
Sc  0.3713  0.6234  0.3767
Sc  0.8713  0.1234  0.8767
Sc  0.0002  0.2734  0.2734
Sc  0.4998  0.2266  0.2266
Sc  0.1287  0.8766  0.1233
Sc  0.6287  0.3766  0.6233
Sc  0.9998  0.7266  0.7266
Sc  0.5002  0.7734  0.7734
Tm  0.2500  0.0249  0.5252
Tm  0.2500  0.4751  0.9748
Tm  0.7500  0.5249  0.0252
Tm  0.7500  0.9751  0.4748

# RbAcMgO3

RbAcMgO3 after structural relaxation (PBE-GGA, the Alexandria database).

Computed properties:
As for the formation energy from raw total energies: -2460 meV per atom. The calculation puts the energy at -6.050 eV/atom. The total moment comes out at 0.00 μB per formula unit.

a = 3.8306 Å, b = 8.0805 Å, c = 8.6495 Å
α = 100.75°, β = 90.00°, γ = 90.00°
Fractional coordinates of all 12 atoms:
Mg  0.7500  0.9185  0.3993
Mg  0.2500  0.0815  0.6007
Ac  0.2500  0.6453  0.1633
Ac  0.7500  0.3547  0.8367
O  0.7500  0.8503  0.1688
O  0.7500  0.1410  0.5472
O  0.7500  0.4382  0.1237
O  0.2500  0.5618  0.8763
O  0.2500  0.1497  0.8312
O  0.2500  0.8590  0.4528
Rb  0.7500  0.8354  0.8207
Rb  0.2500  0.1646  0.1793

# SrLa2Mg2

SrLa2Mg2 after structural relaxation (PBE-GGA, the Alexandria database).

Computed properties:
The value obtained for the energy above the most stable polymorph in this dataset is 3 meV per atom. As for the formation energy: 2 kJ/mol of atoms. The calculation puts the energy at -2.929 eV/atom. The total moment comes out at 0.00 μB per formula unit.

a = 9.8196 Å, b = 9.8196 Å, c = 3.6471 Å
α = 90.00°, β = 90.00°, γ = 90.00°
Fractional coordinates of all 10 atoms:
Sr  0.5000  0.5000  0.0000
Sr  0.0000  0.0000  0.0000
La  0.8292  0.3292  0.5000
La  0.1708  0.6708  0.5000
La  0.6708  0.8292  0.5000
La  0.3292  0.1708  0.5000
Mg  0.8793  0.6207  0.0000
Mg  0.6207  0.1207  0.0000
Mg  0.3793  0.8793  0.0000
Mg  0.1207  0.3793  0.0000

# Rb3BaCo

Rb3BaCo after structural relaxation (PBE-GGA, the Alexandria database).

Computed properties:
As for the formation energy: 71 kJ/mol of atoms. The calculation puts the energy at -1.651 eV/atom. The total moment comes out at 0.85 μB per formula unit.

a = 6.9288 Å, b = 6.9288 Å, c = 6.9288 Å
α = 90.00°, β = 90.00°, γ = 90.00°
Last column: magnetic moment on the atom in μB.
Fractional coordinates of all 5 atoms:
Rb  0.0000  0.5000  0.0000  -0.02
Rb  0.5000  0.0000  0.0000  -0.01
Rb  0.0000  0.0000  0.5000  -0.02
Co  0.0000  0.0000  0.0000  1.96
Ba  0.5000  0.5000  0.5000  -0.10

# ScPdPtRh

ScPdPtRh after structural relaxation (PBE-GGA, the Alexandria database).

Computed properties:
As for the formation energy: -78 kJ/mol of atoms. The calculation puts the energy at -7.039 eV/atom. The total moment comes out at 0.00 μB per formula unit.

a = 3.9818 Å, b = 3.9634 Å, c = 3.9975 Å
α = 90.00°, β = 90.00°, γ = 90.00°
Fractional coordinates of all 4 atoms:
Pd  0.5000  0.5000  0.0000
Pt  0.0000  0.0000  0.0000
Rh  0.0000  0.5000  0.5000
Sc  0.5000  0.0000  0.5000

# Ba2PrPaO6

Ba2PrPaO6 after structural relaxation (PBE-GGA, the Alexandria database).

Computed properties:
The value obtained for the energy above the most stable polymorph in this dataset is 66 meV per atom. As for the formation energy from raw total energies: -3206 meV per atom. The calculation puts the energy at -7.993 eV/atom. The total moment comes out at 0.00 μB per formula unit.

a = 6.4123 Å, b = 6.4123 Å, c = 6.4123 Å
α = 60.00°, β = 60.00°, γ = 60.00°
Fractional coordinates of all 10 atoms:
O  0.7597  0.7597  0.2403
O  0.2403  0.7597  0.2403
O  0.7597  0.2403  0.7597
O  0.7597  0.2403  0.2403
O  0.2403  0.7597  0.7597
O  0.2403  0.2403  0.7597
Ba  0.7500  0.7500  0.7500
Ba  0.2500  0.2500  0.2500
Pr  0.5000  0.5000  0.5000
Pa  0.0000  0.0000  0.0000